The following is a DFT calculation (GGA+U) of a geometry-optimized SbWI2O structure. Values from VASP.

Cell and atoms, written as Quantum ESPRESSO input:
```
&SYSTEM
  ibrav = 0, nat = 5, ntyp = 4
/
ATOMIC_SPECIES
Sb 121.76 Sb.upf
W 183.84 W.upf
I 126.90 I.upf
O 16.00 O.upf
CELL_PARAMETERS angstrom
5.685 0.000 0.000
0.000 5.685 0.000
0.000 0.000 5.543
ATOMIC_POSITIONS crystal
Sb 0.000 0.000 0.000
W 0.000 0.000 0.500
I 0.000 0.500 0.500
I 0.500 0.000 0.500
O 0.500 0.500 0.000
```

Output
energy = -2.956 eV per atom
distance to the lowest polymorph of the same formula = 1.027 eV per atom
volume = 179.16 Å³ per cell
DOS at the Fermi energy = 7.475 states/eV/cell
space-group type = P4/mmm